# CsCrGaO4 PBE with a Hubbard U optimized geometry
data_CsCrGaO4
_chemical_formula_sum 'Cs2 Cr2 Ga2 O8'
_symmetry_space_group_name_H-M 'P 1 21/m 1'
_symmetry_Int_Tables_number 11
_symmetry_space_group_name_Hall '-P 2yb'
_cell_length_a 7.075
_cell_length_b 6.130
_cell_length_c 7.270
_cell_angle_alpha 90.00
_cell_angle_beta 95.71
_cell_angle_gamma 90.00
loop_
_atom_site_label
_atom_site_type_symbol
_atom_site_fract_x
_atom_site_fract_y
_atom_site_fract_z
Cs1 Cs 0.149 0.250 0.377
Cr1 Cr 0.335 0.750 0.882
Ga1 Ga 0.369 0.250 0.863
O1 O 0.242 0.001 0.770
O2 O 0.358 0.750 0.130
O3 O 0.410 0.250 0.123
# Crystal system: monoclinic
# E_tot: -6.0543 eV per atom